# 1
First-principles (GGA-PBE) data for a relaxed structure of Y2MnVS, as listed in Alexandria via LeMat-Bulk.

a = 5.3471 Å, b = 4.0454 Å, c = 5.3471 Å
α = 90.00°, β = 90.00°, γ = 90.00°
Element x y z (fractional)
V  0.0000  0.5000  0.0000
Y  0.0000  0.0000  0.5000
Y  0.5000  0.0000  0.0000
S  0.5000  0.5000  0.5000
Mn  0.0000  0.0000  0.0000

Output
Formation energy without anion corrections ... 0.082 eV per atom
DOS at the Fermi energy ... 4.7 states/eV/f.u.
Volume ... 116 Å³/f.u.
Magnetic moment ... 0.5 μB per cell
Polymorph energy (0 for the lowest one) ... 0.0 meV/atom

***

# 2
First-principles (GGA-PBE) data for a relaxed structure of KCd2P, as listed in Alexandria via LeMat-Bulk.

a = 4.5292 Å, b = 4.5273 Å, c = 4.7786 Å
α = 90.00°, β = 90.00°, γ = 90.00°
Element x y z (fractional)
Cd  0.5000  0.5000  0.0000
Cd  0.0000  0.0000  0.0000
K  0.5000  0.0000  0.5000
P  0.0000  0.5000  0.5000

Output
DOS at the Fermi energy ... 1.7 states/eV/f.u.
Volume ... 98 Å³/f.u.
Magnetic moment ... 0.0 μB per cell
Formation energy from the elements ... 4.3 kcal/mol of atoms

***

# 3
First-principles (GGA-PBE) data for a relaxed structure of La2CeTh3Bi6, as listed in Alexandria via LeMat-Bulk.

a = 4.6247 Å, b = 9.2819 Å, c = 10.3715 Å
α = 103.10°, β = 102.88°, γ = 90.00°
Element x y z (fractional)
Bi  0.9985  0.2493  0.9970
Bi  0.3337  0.9200  0.6674
Bi  0.6656  0.5865  0.3312
Bi  0.6663  0.0800  0.3326
Bi  0.0015  0.7507  0.0030
Bi  0.3344  0.4135  0.6688
Ce  0.5000  0.0000  0.0000
Th  0.8326  0.1661  0.6652
Th  0.5000  0.5000  0.0000
Th  0.1674  0.8339  0.3348
La  0.8335  0.6664  0.6670
La  0.1665  0.3336  0.3330

Output
DOS at the Fermi energy ... 13.4 states/eV/f.u.
Volume ... 422 Å³/f.u.
Magnetic moment ... 1.1 μB per cell
Formation energy from the elements ... -18.0 kcal/mol of atoms

***

Question: Look up the magnetic moment of the first one.
Answer: 0.5 μB per cell

***

Question: Which value of DOS at the Fermi energy does entry 2 give?
Answer: 1.7 states/eV/f.u.